[1]
A plane-wave DFT calculation with PBE was carried out for crystalline TlTcO3 at its relaxed geometry.

Values from the calculation:
M_tot (μB per formula unit): 1.82
Final energy (eV/atom): -6.6986
Raw formation energy (eV/f.u.): -5.9

Unit cell a=7.438 b=7.438 c=7.438 alpha=60.00 beta=60.00 gamma=60.00
Sites, in units of the cell vectors:
Tl1 0.000 0.000 0.000
Tl2 0.000 0.000 0.500
Tl3 0.000 0.500 0.000
Tl4 0.500 0.000 0.000
Tc1 0.000 0.500 0.500
Tc2 0.500 0.000 0.500
Tc3 0.500 0.500 0.000
Tc4 0.500 0.500 0.500
O1 0.187 0.187 0.563
O2 0.187 0.563 0.187
O3 0.187 0.563 0.563
O4 0.437 0.437 0.813
O5 0.437 0.813 0.437
O6 0.437 0.813 0.813
O7 0.563 0.187 0.187
O8 0.563 0.187 0.563
O9 0.563 0.563 0.187
O10 0.813 0.437 0.437
O11 0.813 0.437 0.813
O12 0.813 0.813 0.437

***

[2]
A plane-wave DFT calculation with PBE was carried out for crystalline Tl3TcO6 at its relaxed geometry.

Values from the calculation:
M_tot (μB per formula unit): 0.00
Final energy (eV/atom): -5.7422
Raw formation energy (eV/f.u.): -10.2

Unit cell a=8.580 b=8.580 c=6.244 alpha=90.00 beta=90.00 gamma=100.95
Sites, in units of the cell vectors:
Tl1 0.042 0.958 0.500
Tl2 0.191 0.376 0.528
Tl3 0.376 0.191 0.028
Tl4 0.624 0.809 0.528
Tl5 0.809 0.624 0.028
Tl6 0.958 0.042 0.000
Tc1 0.287 0.713 0.102
Tc2 0.713 0.287 0.602
O1 0.125 0.615 0.955
O2 0.131 0.144 0.255
O3 0.144 0.131 0.755
O4 0.220 0.780 0.345
O5 0.385 0.875 0.955
O6 0.416 0.584 0.151
O7 0.584 0.416 0.651
O8 0.615 0.125 0.455
O9 0.780 0.220 0.845
O10 0.856 0.869 0.255
O11 0.869 0.856 0.755
O12 0.875 0.385 0.455

***

[3]
A plane-wave DFT calculation with PBE was carried out for crystalline TlTcO3 at its relaxed geometry.

Values from the calculation:
M_tot (μB per formula unit): 0.00
Final energy (eV/atom): -6.6087
Raw formation energy (eV/f.u.): -5.4

Unit cell a=4.748 b=12.606 c=6.224 alpha=90.00 beta=90.00 gamma=90.00
Sites, in units of the cell vectors:
Tl1 0.000 0.000 0.000
Tl2 0.000 0.500 0.000
Tl3 0.500 0.000 0.500
Tl4 0.500 0.500 0.500
Tc1 0.050 0.250 0.446
Tc2 0.450 0.750 0.946
Tc3 0.550 0.250 0.054
Tc4 0.950 0.750 0.554
O1 0.005 0.622 0.447
O2 0.005 0.878 0.447
O3 0.057 0.750 0.858
O4 0.443 0.250 0.358
O5 0.495 0.122 0.947
O6 0.495 0.378 0.947
O7 0.505 0.622 0.053
O8 0.505 0.878 0.053
O9 0.557 0.750 0.642
O10 0.943 0.250 0.142
O11 0.995 0.122 0.553
O12 0.995 0.378 0.553